# 1
VASP calculation (meta-GGA SCAN) on a PBEsol-optimized structure of BeNiPb2.

```
BeNiPb2
1.0
3.371 0.000 0.000
0.000 3.338 0.000
-1.329 0.000 6.635
Be Ni Pb
1 1 2
Direct
0.000 0.000 0.000
0.000 0.000 0.500
0.469 0.500 0.257
0.531 0.500 0.743
```

* formation enthalpy at 0 K: 0.56 eV/atom

# 2
VASP calculation (meta-GGA SCAN) on a PBEsol-optimized structure of Be2NiPb.

```
Be2NiPb
1.0
1.887 1.089 4.703
-1.887 1.089 4.703
0.000 -2.179 4.703
Be Ni Pb
2 1 1
Direct
0.186 0.186 0.186
0.814 0.814 0.814
0.500 0.500 0.500
0.000 0.000 0.000
```

* formation enthalpy at 0 K: 0.21 eV/atom

# 3
VASP calculation (meta-GGA SCAN) on a PBEsol-optimized structure of BeNi3Pd.

```
BeNi3Pd
1.0
3.830 0.000 0.000
0.000 3.830 0.000
0.000 0.000 3.830
Be Ni Pd
1 3 1
Direct
0.000 0.000 0.000
0.000 0.000 0.500
0.000 0.500 0.000
0.500 0.000 0.000
0.500 0.500 0.500
```

* formation enthalpy at 0 K: 0.34 eV/atom

# 4
VASP calculation (meta-GGA SCAN) on a PBEsol-optimized structure of ScBe2NiPd.

```
ScBe2NiPd
1.0
4.470 0.000 0.000
0.000 4.470 0.000
0.000 0.000 4.497
Sc Be Ni Pd
1 2 1 1
Direct
0.000 0.000 0.000
0.000 0.500 0.000
0.500 0.000 0.000
0.500 0.500 0.500
0.000 0.000 0.500
```

* formation enthalpy at 0 K: 1.71 eV/atom

# 5
VASP calculation (meta-GGA SCAN) on a PBEsol-optimized structure of BeNiPt2.

```
BeNiPt2
1.0
2.713 0.000 0.000
0.000 2.713 0.000
0.000 0.000 6.492
Be Ni Pt
1 1 2
Direct
0.000 0.000 0.000
0.500 0.500 0.189
0.000 0.000 0.460
0.500 0.500 0.783
```

* formation enthalpy at 0 K: -0.41 eV/atom

# 6
VASP calculation (meta-GGA SCAN) on a PBEsol-optimized structure of BeNiPt2.

```
BeNiPt2
1.0
2.709 0.000 0.000
0.000 2.709 0.000
0.000 0.000 6.559
Be Ni Pt
1 1 2
Direct
0.000 0.000 0.000
0.000 0.000 0.500
0.500 0.500 0.222
0.500 0.500 0.778
```

* formation enthalpy at 0 K: -0.57 eV/atom

# 7
VASP calculation (meta-GGA SCAN) on a PBEsol-optimized structure of Be2NiPt.

```
Be2NiPt
1.0
2.754 0.000 0.000
0.000 2.754 0.000
0.000 0.000 5.356
Be Ni Pt
2 1 1
Direct
0.000 0.000 0.000
0.500 0.500 0.225
0.000 0.000 0.419
0.500 0.500 0.760
```

* formation enthalpy at 0 K: -0.52 eV/atom

# 8
VASP calculation (meta-GGA SCAN) on a PBEsol-optimized structure of BeNiPt2.

```
BeNiPt2
1.0
3.881 0.000 0.000
0.000 3.881 0.000
0.000 0.000 3.234
Be Ni Pt
1 1 2
Direct
0.000 0.000 0.000
0.500 0.500 0.000
0.000 0.500 0.500
0.500 0.000 0.500
```

* formation enthalpy at 0 K: -0.45 eV/atom

# 9
VASP calculation (meta-GGA SCAN) on a PBEsol-optimized structure of BeNi6Pt.

```
BeNi6Pt
1.0
3.476 -4.965 0.000
3.476 4.965 0.000
0.000 0.000 9.930
Be Ni Pt
4 24 4
Direct
0.000 0.000 0.242
0.000 0.000 0.758
0.253 0.747 0.000
0.747 0.253 0.000
0.000 0.000 0.000
0.000 0.000 0.500
0.115 0.370 0.119
0.115 0.370 0.881
0.118 0.362 0.367
0.118 0.362 0.633
0.246 0.754 0.240
0.246 0.754 0.760
0.362 0.118 0.367
0.362 0.118 0.633
0.370 0.115 0.119
0.370 0.115 0.881
0.500 0.500 0.000
0.500 0.500 0.500
0.630 0.885 0.119
0.630 0.885 0.881
0.638 0.882 0.367
0.638 0.882 0.633
0.754 0.246 0.240
0.754 0.246 0.760
0.882 0.638 0.367
0.882 0.638 0.633
0.885 0.630 0.119
0.885 0.630 0.881
0.252 0.748 0.500
0.500 0.500 0.246
0.500 0.500 0.754
0.748 0.252 0.500
```

* formation enthalpy at 0 K: -0.14 eV/atom

# 10
VASP calculation (meta-GGA SCAN) on a PBEsol-optimized structure of BeNiPt2.

```
BeNiPt2
1.0
2.727 -3.265 0.000
2.727 3.265 0.000
0.000 0.000 2.731
Be Ni Pt
1 1 2
Direct
0.000 0.000 0.000
0.500 0.500 0.000
0.000 0.500 0.500
0.500 0.000 0.500
```

* formation enthalpy at 0 K: -0.48 eV/atom

# 11
VASP calculation (meta-GGA SCAN) on a PBEsol-optimized structure of BeNiPt.

```
BeNiPt
1.0
-1.343 1.343 4.529
1.343 -1.343 4.529
1.343 1.343 -4.529
Be Ni Pt
1 1 1
Direct
0.000 0.000 0.000
0.638 0.638 0.000
0.342 0.342 0.000
```

* formation enthalpy at 0 K: -0.52 eV/atom
* energy above the lowest structure with this stoichiometry: 0 meV per atom

# 12
VASP calculation (meta-GGA SCAN) on a PBEsol-optimized structure of BeNiPt.

```
BeNiPt
1.0
3.845 0.000 0.000
-1.922 3.329 0.000
0.000 0.000 2.630
Be Ni Pt
1 1 1
Direct
0.000 0.000 0.000
0.333 0.667 0.962
0.667 0.333 0.466
```

* formation enthalpy at 0 K: -0.39 eV/atom
* energy above the lowest structure with this stoichiometry: 132 meV per atom

# 13
VASP calculation (meta-GGA SCAN) on a PBEsol-optimized structure of Be2NiPt.

```
Be2NiPt
1.0
3.834 0.000 0.000
0.000 3.834 0.000
0.000 0.000 2.728
Be Ni Pt
2 1 1
Direct
0.000 0.500 0.000
0.500 0.000 0.000
0.000 0.000 0.500
0.500 0.500 0.500
```

* formation enthalpy at 0 K: -0.78 eV/atom

# 14
VASP calculation (meta-GGA SCAN) on a PBEsol-optimized structure of RbBe3Ni.

```
RbBe3Ni
1.0
4.721 0.000 0.000
0.000 4.721 0.000
0.000 0.000 4.721
Rb Be Ni
1 3 1
Direct
0.000 0.000 0.000
0.000 0.000 0.500
0.000 0.500 0.000
0.500 0.000 0.000
0.500 0.500 0.500
```

* formation enthalpy at 0 K: 3.04 eV/atom

# 15
VASP calculation (meta-GGA SCAN) on a PBEsol-optimized structure of RbBe2SiNi.

```
RbBe2SiNi
1.0
4.422 0.000 0.000
0.000 4.422 0.000
0.000 0.000 4.310
Rb Be Si Ni
1 2 1 1
Direct
0.000 0.000 0.000
0.000 0.500 0.500
0.500 0.000 0.500
0.500 0.500 0.000
0.500 0.500 0.500
```

* formation energy (no corrections): 0.4628 eV per atom

# 16
VASP calculation (meta-GGA SCAN) on a PBEsol-optimized structure of RbBe2TlNi.

```
RbBe2TlNi
1.0
4.636 0.000 0.000
0.000 4.636 0.000
0.000 0.000 5.073
Rb Be Tl Ni
1 2 1 1
Direct
0.000 0.000 0.000
0.000 0.500 0.500
0.500 0.000 0.500
0.500 0.500 0.500
0.500 0.500 0.000
```

* formation enthalpy at 0 K: 0.90 eV/atom

# 17
VASP calculation (meta-GGA SCAN) on a PBEsol-optimized structure of BeReNi2.

```
BeReNi2
1.0
1.294 0.747 7.696
-1.294 0.747 7.696
0.000 -1.494 7.696
Be Re Ni
1 1 2
Direct
0.000 0.000 0.000
0.500 0.500 0.500
0.259 0.259 0.259
0.741 0.741 0.741
```

* formation enthalpy at 0 K: -0.01 eV/atom

# 18
VASP calculation (meta-GGA SCAN) on a PBEsol-optimized structure of BeReNi2.

```
BeReNi2
1.0
-1.330 2.004 3.979
1.330 -2.004 3.979
1.330 2.004 -3.979
Be Re Ni
1 1 2
Direct
0.000 0.000 0.000
0.500 0.500 0.000
0.225 0.725 0.500
0.775 0.275 0.500
```

* formation enthalpy at 0 K: -0.05 eV/atom

# 19
VASP calculation (meta-GGA SCAN) on a PBEsol-optimized structure of Be2ReNi.

```
Be2ReNi
1.0
0.000 2.715 2.715
2.715 0.000 2.715
2.715 2.715 0.000
Be Re Ni
2 1 1
Direct
0.250 0.250 0.250
0.750 0.750 0.750
0.000 0.000 0.000
0.500 0.500 0.500
```

* formation enthalpy at 0 K: -0.07 eV/atom
* energy above the lowest structure with this stoichiometry: 199 meV per atom

# 20
VASP calculation (meta-GGA SCAN) on a PBEsol-optimized structure of BeReNi2.

```
BeReNi2
1.0
2.577 0.000 0.000
0.000 2.577 0.000
0.000 0.000 6.378
Be Re Ni
1 1 2
Direct
0.000 0.000 0.000
0.000 0.000 0.500
0.500 0.500 0.207
0.500 0.500 0.793
```

* formation enthalpy at 0 K: -0.23 eV/atom